VASP calculation (PBE-GGA) on crystalline Pm2Pr2Ga3 at its relaxed geometry.

Output
The value obtained for the total DFT energy (no corrections) is -31.12 eV/cell. The density of states at the Fermi level is 5.0 states/eV/cell. For the total magnetic moment, the calculation gives 0.000 μB per atom. The volume is 27.33 Å³ per atom.

Cell lengths 4.094, 5.807, 8.195 Å; angles 96.34, 94.84, 96.85 degrees
Space group P-1 (No. 2)
Inequivalent atoms, fractional coordinates:
Pm (0.225, 0.032, 0.175) (multiplicity 2)
Pr (0.365, 0.421, 0.695) (multiplicity 2)
Ga (0.000, 0.500, 0.000) (multiplicity 1)
Ga (0.225, 0.873, 0.539) (multiplicity 2)